No. 1
Below is crystalline POsSeO2 at its relaxed geometry, with properties calculated at the PBE level.

```
data_POsSeO2
_cell_length_a 3.7163
_cell_length_b 3.7163
_cell_length_c 5.4957
_cell_angle_alpha 90.00
_cell_angle_beta 90.00
_cell_angle_gamma 90.00
_space_group_name_H-M_alt 'P 4/m m m'
_space_group_IT_number 123
_space_group_name_Hall '-P 4 2'
loop_
_atom_site_label
_atom_site_type_symbol
_atom_site_fract_x
_atom_site_fract_y
_atom_site_fract_z
_atom_site_occupancy
P1 P 0.0000 0.0000 0.0000 1
Os1 Os 0.0000 0.0000 0.5000 1
Se1 Se 0.5000 0.5000 0.0000 1
O1 O 0.0000 0.5000 0.5000 1
```

* total magnetization: 0.00 μB per cell
* final energy: -6.3661 eV per atom
* crystal system: tetragonal

No. 2
Below is crystalline P2OsSeO at its relaxed geometry, with properties calculated at the PBE level.

```
data_P2OsSeO
_cell_length_a 4.6968
_cell_length_b 4.6968
_cell_length_c 3.4625
_cell_angle_alpha 90.00
_cell_angle_beta 90.00
_cell_angle_gamma 90.00
_space_group_name_H-M_alt 'P 4/m m m'
_space_group_IT_number 123
_space_group_name_Hall '-P 4 2'
loop_
_atom_site_label
_atom_site_type_symbol
_atom_site_fract_x
_atom_site_fract_y
_atom_site_fract_z
_atom_site_occupancy
P1 P 0.0000 0.5000 0.0000 1
Os1 Os 0.0000 0.0000 0.5000 1
Se1 Se 0.5000 0.5000 0.0000 1
O1 O 0.5000 0.5000 0.5000 1
```

* total magnetization: 0.00 μB per cell
* final energy: -5.0247 eV per atom
* crystal system: tetragonal

No. 3
Below is crystalline POsSeO2 at its relaxed geometry, with properties calculated at the PBE level.

```
data_POsSeO2
_cell_length_a 3.6055
_cell_length_b 3.6055
_cell_length_c 6.0660
_cell_angle_alpha 90.00
_cell_angle_beta 90.00
_cell_angle_gamma 90.00
_space_group_name_H-M_alt 'P 4/m m m'
_space_group_IT_number 123
_space_group_name_Hall '-P 4 2'
loop_
_atom_site_label
_atom_site_type_symbol
_atom_site_fract_x
_atom_site_fract_y
_atom_site_fract_z
_atom_site_occupancy
P1 P 0.0000 0.0000 0.0000 1
Os1 Os 0.5000 0.5000 0.0000 1
Se1 Se 0.0000 0.0000 0.5000 1
O1 O 0.0000 0.5000 0.5000 1
```

* total magnetization: 1.96 μB per cell
* final energy: -5.2769 eV per atom
* crystal system: tetragonal